# 1
TiRe3Os after structural relaxation. Source: Alexandria, functional GGA-PBE.

Values from the calculation:
Formation energy   2.084 eV per atom
DOS at the Fermi energy   1.7044 states/eV/atom
Total DFT energy (no corrections)   -9.21 eV per atom
Space-group type   Pm-3m

Cell: 4.439 4.439 4.439 Å, 90.00 90.00 90.00°
Sites, in units of the cell vectors:
Ti  0.000  0.000  0.000
Re  0.000  0.000  0.500
Re  0.000  0.500  0.000
Re  0.500  0.000  0.000
Os  0.500  0.500  0.500

=====

# 2
Ti2ReOs after structural relaxation. Source: Alexandria, functional GGA-PBE.

Values from the calculation:
Formation energy   0.293 eV per atom
DOS at the Fermi energy   0.7193 states/eV/atom
Total DFT energy (no corrections)   -9.57 eV per atom
Space-group type   I-42d

Cell: 5.611 5.611 5.611 Å, 103.07 103.07 123.21°
Sites, in units of the cell vectors:
Ti  0.118  0.625  0.993
Ti  0.375  0.368  0.493
Ti  0.632  0.125  0.007
Ti  0.875  0.882  0.507
Re  0.250  0.750  0.500
Re  0.500  0.500  0.000
Os  0.000  0.000  0.000
Os  0.750  0.250  0.500

=====

# 3
Ti6ReOs after structural relaxation. Source: Alexandria, functional GGA-PBE.

Values from the calculation:
Formation energy   -0.265 eV per atom
DOS at the Fermi energy   1.2433 states/eV/atom
Total DFT energy (no corrections)   -9.15 eV per atom
Space-group type   I4/mmm

Cell: 7.348 7.348 7.348 Å, 145.17 145.17 50.09°
Sites, in units of the cell vectors:
Ti  0.113  0.613  0.500
Ti  0.249  0.249  0.000
Ti  0.387  0.887  0.500
Ti  0.613  0.113  0.500
Ti  0.751  0.751  0.000
Ti  0.887  0.387  0.500
Re  0.000  0.000  0.000
Os  0.500  0.500  0.000

=====

# 4
Ti3Re2Os after structural relaxation. Source: Alexandria, functional GGA-PBE.

Values from the calculation:
Formation energy   -0.508 eV per atom
DOS at the Fermi energy   0.5838 states/eV/atom
Total DFT energy (no corrections)   -10.48 eV per atom
Space-group type   P4/mmm

Cell: 3.106 3.106 9.333 Å, 90.00 90.00 90.00°
Sites, in units of the cell vectors:
Ti  0.000  0.000  0.000
Ti  0.000  0.000  0.334
Ti  0.000  0.000  0.666
Re  0.500  0.500  0.167
Re  0.500  0.500  0.833
Os  0.500  0.500  0.500

=====

# 5
TiRe3Os after structural relaxation. Source: Alexandria, functional GGA-PBE.

Values from the calculation:
Formation energy   1.897 eV per atom
DOS at the Fermi energy   1.1384 states/eV/atom
Total DFT energy (no corrections)   -9.40 eV per atom
Space-group type   Pm-3m

Cell: 4.679 4.679 4.679 Å, 90.00 90.00 90.00°
Sites, in units of the cell vectors:
Ti  0.000  0.000  0.000
Re  0.000  0.500  0.500
Re  0.500  0.000  0.500
Re  0.500  0.500  0.000
Os  0.500  0.500  0.500

=====

# 6
Ti2ReOs after structural relaxation. Source: Alexandria, functional GGA-PBE.

Values from the calculation:
Formation energy   -0.567 eV per atom
DOS at the Fermi energy   0.6376 states/eV/atom
Total DFT energy (no corrections)   -10.43 eV per atom
Space-group type   P4/mmm

Cell: 3.100 3.100 6.227 Å, 90.00 90.00 90.00°
Sites, in units of the cell vectors:
Ti  0.000  0.000  0.249
Ti  0.000  0.000  0.751
Re  0.500  0.500  0.500
Os  0.500  0.500  0.000

=====

# 7
Ti4ReOs3 after structural relaxation. Source: Alexandria, functional GGA-PBE.

Values from the calculation:
Formation energy   -0.643 eV per atom
DOS at the Fermi energy   0.5452 states/eV/atom
Total DFT energy (no corrections)   -10.36 eV per atom
Space-group type   Pmmm

Cell: 3.089 4.388 8.773 Å, 90.00 90.00 90.00°
Sites, in units of the cell vectors:
Ti  0.000  0.000  0.000
Ti  0.000  0.000  0.500
Ti  0.000  0.500  0.249
Ti  0.000  0.500  0.751
Re  0.500  0.500  0.000
Os  0.500  0.000  0.252
Os  0.500  0.000  0.748
Os  0.500  0.500  0.500

=====

# 8
TiReOs after structural relaxation. Source: Alexandria, functional GGA-PBE.

Values from the calculation:
Formation energy   0.011 eV per atom
DOS at the Fermi energy   0.8488 states/eV/atom
Total DFT energy (no corrections)   -10.51 eV per atom
Space-group type   I4/mmm

Cell: 12.625 12.625 12.625 Å, 167.36 167.36 17.92°
Sites, in units of the cell vectors:
Ti  0.058  0.058  0.000
Ti  0.942  0.942  0.000
Re  0.207  0.207  0.000
Re  0.793  0.793  0.000
Os  0.366  0.366  0.000
Os  0.634  0.634  0.000

=====

# 9
Ti2ReOs after structural relaxation. Source: Alexandria, functional GGA-PBE.

Values from the calculation:
Formation energy   -0.559 eV per atom
DOS at the Fermi energy   0.7926 states/eV/atom
Total DFT energy (no corrections)   -10.43 eV per atom
Space-group type   Fm-3m

Cell: 4.390 4.390 4.390 Å, 60.00 60.00 60.00°
Sites, in units of the cell vectors:
Ti  0.250  0.250  0.250
Ti  0.750  0.750  0.750
Re  0.000  0.000  0.000
Os  0.500  0.500  0.500

=====

# 10
TiReOs2 after structural relaxation. Source: Alexandria, functional GGA-PBE.

Values from the calculation:
Formation energy   1.304 eV per atom
DOS at the Fermi energy   1.0275 states/eV/atom
Total DFT energy (no corrections)   -9.40 eV per atom
Space-group type   I-42d

Cell: 6.974 6.974 6.974 Å, 132.59 132.59 69.30°
Sites, in units of the cell vectors:
Ti  0.000  0.000  0.000
Ti  0.750  0.250  0.500
Re  0.250  0.750  0.500
Re  0.500  0.500  0.000
Os  0.137  0.625  0.012
Os  0.375  0.387  0.512
Os  0.613  0.125  0.988
Os  0.875  0.863  0.488

=====

# 11
Ti4ReOs after structural relaxation. Source: Alexandria, functional GGA-PBE.

Values from the calculation:
Formation energy   0.016 eV per atom
DOS at the Fermi energy   1.3803 states/eV/atom
Total DFT energy (no corrections)   -9.19 eV per atom
Space-group type   R-3m

Cell: 7.400 7.400 7.400 Å, 33.61 33.61 33.61°
Sites, in units of the cell vectors:
Ti  0.125  0.125  0.125
Ti  0.375  0.375  0.375
Ti  0.625  0.625  0.625
Ti  0.875  0.875  0.875
Re  0.000  0.000  0.000
Os  0.500  0.500  0.500

=====

# 12
TlReOs2 after structural relaxation. Source: Alexandria, functional GGA-PBE.

Values from the calculation:
Formation energy   0.935 eV per atom
DOS at the Fermi energy   1.2902 states/eV/atom
Total DFT energy (no corrections)   -8.38 eV per atom
Space-group type   I4/mmm

Cell: 4.856 4.856 4.856 Å, 130.53 130.53 72.56°
Sites, in units of the cell vectors:
Tl  0.000  0.000  0.000
Re  0.500  0.500  0.000
Os  0.250  0.750  0.500
Os  0.750  0.250  0.500